First-principles (PBE+U) data for a geometry-optimized CoAsIO2 structure, as listed in the Alexandria database.

Unit cell a=3.789 b=3.789 c=6.538 alpha=90.00 beta=90.00 gamma=90.00
Fractional coordinates of all 5 atoms:
Co: 0.500 0.500 0.500
I: 0.000 0.000 0.500
O: 0.000 0.500 0.000
O: 0.500 0.000 0.000
As: 0.000 0.000 0.000

Summary:
SG = P4/mmm (123)
N(E_F) = 0.145 states/eV/atom
ΔE to the lowest computed polymorph = 0 meV/atom